(1)
A plane-wave DFT calculation with GGA-PBE was carried out for crystalline LaBe3Mo at its relaxed geometry.

```
5
Lattice="-2.016 -3.965 0.495 3.742 -1.680 1.790 -1.400 1.220 4.072" Properties=species:S:1:pos:R:3 pbc="T T T"
La 0.163 -2.212 3.179
Mo 0.000 0.000 0.000
Be -0.700 0.610 2.036
Be 1.871 -0.840 0.895
Be -1.008 -1.982 0.247
```

Results
E_form	211	kJ/mol of formula units
total moment	0.00	μB per formula unit
space group	Pm-3m



(2)
A plane-wave DFT calculation with GGA-PBE was carried out for crystalline La4Dy3ThS8 at its relaxed geometry.

```
16
Lattice="8.067 0.000 0.000 0.000 8.127 0.037 -4.033 -4.030 5.707" Properties=species:S:1:pos:R:3 pbc="T T T"
S 4.033 0.132 2.891
S 0.000 3.965 2.852
S 0.000 0.129 2.942
S 4.033 3.968 2.802
S 6.013 2.110 0.091
S 1.979 1.987 5.653
S 2.054 2.110 0.091
S -1.979 1.987 5.653
Dy 4.033 4.063 0.018
Dy -2.017 2.048 2.872
Dy 2.017 2.048 2.872
La 0.000 0.000 0.000
La 2.017 -2.015 2.853
La -2.017 -2.015 2.853
La 4.033 0.000 0.000
Th 0.000 4.063 0.018
```

Results
total moment	0.00	μB per formula unit
space group	R-3m



(3)
A plane-wave DFT calculation with GGA-PBE was carried out for crystalline Sm4PPtI2 at its relaxed geometry.

```
8
Lattice="-0.292 -0.675 -4.068 -4.495 -5.916 1.305 -4.750 6.391 -0.720" Properties=species:S:1:pos:R:3 pbc="T T T"
I -4.623 0.237 0.293
I -2.521 2.858 -2.394
Sm -7.470 0.239 -1.603
Sm -5.109 3.535 -0.220
Sm -4.136 -3.061 0.805
Sm -2.067 -0.439 -1.879
P 0.000 0.000 0.000
Pt -2.394 -3.296 -1.381
```

Results
total moment	0.00	μB per formula unit
space group	P2/m



(4)
A plane-wave DFT calculation with GGA-PBE was carried out for crystalline Tb2HoPu3Te6 at its relaxed geometry.

```
12
Lattice="4.374 0.000 0.000 0.000 8.827 0.251 -2.187 -2.612 9.252" Properties=species:S:1:pos:R:3 pbc="T T T"
Ho 2.187 0.000 0.000
Te 2.187 -0.110 3.071
Te 2.187 4.260 3.243
Te 0.000 6.324 6.432
Te 2.187 4.050 9.430
Te 0.000 2.165 0.074
Te 0.000 1.954 6.261
Pu 2.187 4.413 0.125
Pu 2.187 -0.270 6.199
Pu 0.000 6.485 3.305
Tb 2.187 4.137 6.331
Tb 0.000 2.078 3.173
```

Results
total moment	17.96	μB per formula unit
space group	C2/m



(5)
A plane-wave DFT calculation with GGA-PBE was carried out for crystalline Li2Ti3O7 at its relaxed geometry.

```
24
Lattice="-3.037 -1.358 4.662 -1.512 -5.180 1.920 8.821 -0.700 5.881" Properties=species:S:1:pos:R:3 pbc="T T T"
O 0.492 -1.077 2.329
O -0.267 -2.947 5.117
O 7.666 -1.231 6.225
O 0.931 -6.145 9.329
O 3.779 -6.161 10.133
O 7.016 -3.226 8.072
O -0.821 -5.335 7.534
O 5.092 -1.902 4.929
O -3.395 -6.007 6.237
O 1.777 -4.641 7.130
O 2.494 -2.597 5.332
O 3.340 -1.092 3.133
O -2.745 -4.011 4.390
O 4.539 -4.290 7.345
Ti 3.654 -2.940 3.900
Ti -1.519 -0.679 2.331
Ti 6.393 -4.733 7.279
Ti 3.272 -5.317 6.357
Ti -2.121 -2.504 5.184
Ti 1.000 -1.920 6.105
Li 4.168 -2.082 6.824
Li 0.104 -5.156 5.639
Li 0.306 -3.107 2.896
Li 3.965 -4.130 9.566
```

Results
total moment	0.00	μB per formula unit
energy above the lowest structure with this stoichiometry	0.036	eV/atom
space group	C2/c



(6)
A plane-wave DFT calculation with GGA-PBE was carried out for crystalline LiPtCl2 at its relaxed geometry.

```
4
Lattice="-0.791 1.214 -5.904 -3.029 -1.839 -4.940 -4.177 1.786 -4.040" Properties=species:S:1:pos:R:3 pbc="T T T"
Li -1.999 0.290 -3.721
Cl -4.008 0.582 -7.460
Cl -7.987 1.160 -14.866
Pt -5.997 0.871 -11.163
```

Results
total moment	1.01	μB per formula unit
energy above the lowest structure with this stoichiometry	0.334	eV/atom
space group	R-3m



(7)
A plane-wave DFT calculation with GGA-PBE was carried out for crystalline ZrSc2Ni at its relaxed geometry.

```
4
Lattice="-4.020 0.765 4.063 -2.912 -2.368 4.377 1.731 1.051 4.377" Properties=species:S:1:pos:R:3 pbc="T T T"
Zr -2.958 -0.385 6.576
Ni -1.293 -0.135 3.204
Sc -6.574 -1.493 8.271
Sc -3.909 -0.416 9.615
```

Results
E_form	-75	kJ/mol of formula units
total moment	0.00	μB per formula unit
energy above the lowest structure with this stoichiometry	0.055	eV/atom
space group	Imm2



(8)
A plane-wave DFT calculation with GGA-PBE was carried out for crystalline ZrZn3Hg at its relaxed geometry.

```
5
Lattice="-1.330 -0.635 -5.198 -4.269 -2.974 1.456 -3.032 4.466 0.230" Properties=species:S:1:pos:R:3 pbc="T T T"
Zn -0.665 -0.318 -2.599
Zn -2.135 -1.487 0.728
Zn -1.516 2.233 0.115
Zr 0.000 0.000 0.000
Hg -4.315 0.428 -1.756
```

Results
E_form	420	kJ/mol of formula units
total moment	2.28	μB per formula unit
energy above the lowest structure with this stoichiometry	0.192	eV/atom
space group	Pm-3m



(9)
A plane-wave DFT calculation with GGA-PBE was carried out for crystalline Li3Zn6Pd at its relaxed geometry.

```
10
Lattice="4.312 0.002 0.002 2.176 6.411 0.408 2.176 2.527 5.906" Properties=species:S:1:pos:R:3 pbc="T T T"
Zn 4.320 2.088 4.068
Zn 4.327 2.113 1.492
Zn 4.338 6.827 4.823
Zn 4.320 4.532 0.609
Zn 4.345 4.408 5.707
Zn 4.345 6.852 2.247
Li 6.494 5.631 3.978
Li 0.000 0.000 0.000
Li 2.171 3.309 2.337
Pd 4.332 4.470 3.158
```

Results
E_form	-209	kJ/mol of formula units
total moment	0.00	μB per formula unit
energy above the lowest structure with this stoichiometry	0.032	eV/atom
space group	C2/m



(10)
A plane-wave DFT calculation with GGA-PBE was carried out for crystalline LiNbCr2 at its relaxed geometry.

```
4
Lattice="0.000 3.070 3.070 3.070 0.000 3.070 3.070 3.070 0.000" Properties=species:S:1:pos:R:3 pbc="T T T"
Cr 4.605 4.605 4.605
Cr 1.535 1.535 1.535
Nb 3.070 3.070 3.070
Li 0.000 0.000 0.000
```

Results
E_form	195	kJ/mol of formula units
total moment	4.01	μB per formula unit
energy above the lowest structure with this stoichiometry	0.000	eV/atom
space group	Fm-3m



(11)
A plane-wave DFT calculation with GGA-PBE was carried out for crystalline Be16FeMo2 at its relaxed geometry.

```
19
Lattice="5.475 0.000 0.617 0.551 5.448 0.617 -0.001 0.000 5.510" Properties=species:S:1:pos:R:3 pbc="T T T"
Be 2.393 4.571 2.678
Be 2.743 0.004 0.313
Be 4.014 1.586 6.110
Be 1.232 3.541 4.081
Be 5.849 3.834 2.654
Be 2.144 5.433 4.673
Be 4.403 5.433 2.654
Be 0.630 0.570 0.705
Be 0.280 2.729 0.313
Be 5.622 1.586 4.673
Be 4.789 1.921 2.678
Be 2.125 1.921 5.059
Be 3.647 0.869 4.081
Be 1.982 3.834 6.110
Be 3.917 3.541 1.681
Be 0.004 0.004 2.761
Fe 5.427 4.905 6.073
Mo 2.042 1.846 2.285
Mo 4.003 3.618 4.480
```

Results
E_form	-327	kJ/mol of formula units
total moment	0.00	μB per formula unit
space group	R3m



(12)
A plane-wave DFT calculation with GGA-PBE was carried out for crystalline PmSmYTl at its relaxed geometry.

```
4
Lattice="5.545 0.000 0.000 2.772 4.802 0.000 2.772 1.601 4.527" Properties=species:S:1:pos:R:3 pbc="T T T"
Sm 2.772 1.601 1.132
Pm 0.000 0.000 0.000
Y 8.317 4.802 3.396
Tl 5.545 3.201 2.264
```

Results
E_form	-14	kJ/mol of formula units
total moment	1.54	μB per formula unit
energy above the lowest structure with this stoichiometry	0.161	eV/atom
space group	F-43m



These records have raw total energy values of -24.75; -106.90; -42.86; -90.30; -191.27; -13.20; -27.77; -8.31; -20.75; -29.21; -93.14; -18.45 eV per cell, in the order they appear.
These records have density values of 4.9; 6.8; 7.5; 9.1; 3.3; 6.1; 5.0; 5.1; 5.4; 5.8; 4.0; 8.1 Mg/m³, in the order they appear.